# 1
A plane-wave DFT calculation with GGA-PBE was carried out for crystalline MgCdSi2 at its relaxed geometry.

a = 4.9767 Å, b = 4.9767 Å, c = 5.2581 Å
α = 69.89°, β = 69.89°, γ = 40.04°
Fractional coordinates of all 4 atoms:
Cd  0.5190  0.5190  0.4756
Mg  0.7241  0.7241  0.7915
Si  0.9653  0.9653  0.9675
Si  0.2916  0.2916  0.2654

## Properties
**Final energy**: -3.125 eV per atom
**E_form (uncorrected)**: 0.214 eV/atom
**Excess energy over the best structure of this formula in the dataset**: 0 meV/atom

---

# 2
A plane-wave DFT calculation with GGA-PBE was carried out for crystalline Zn2Ag5Hg at its relaxed geometry.

a = 4.0814 Å, b = 9.2328 Å, c = 7.8278 Å
α = 83.24°, β = 105.11°, γ = 90.00°
Fractional coordinates of all 16 atoms:
Zn  0.1323  0.3706  0.7648
Zn  0.6325  0.8706  0.7648
Zn  0.8677  0.6294  0.2352
Zn  0.3675  0.1294  0.2352
Ag  0.6883  0.5619  0.8766
Ag  0.2501  0.7500  0.0000
Ag  0.7499  0.2500  0.0000
Ag  0.0659  0.6908  0.6316
Ag  0.9341  0.3092  0.3684
Ag  0.5657  0.1908  0.6316
Ag  0.4343  0.8092  0.3684
Ag  0.3117  0.4381  0.1234
Ag  0.1882  0.0619  0.8766
Ag  0.8118  0.9381  0.1234
Hg  0.0000  0.0000  0.5000
Hg  0.5000  0.5000  0.5000

## Properties
**E_form**: 0.018 eV per atom
**Final energy**: -2.120 eV per atom
**Excess energy over the best structure of this formula in the dataset**: 0 meV/atom

---

# 3
A plane-wave DFT calculation with GGA-PBE was carried out for crystalline KInGeCl6 at its relaxed geometry.

a = 6.8687 Å, b = 6.8687 Å, c = 13.7514 Å
α = 90.00°, β = 90.00°, γ = 120.00°
Fractional coordinates of all 18 atoms:
K  0.0000  0.0000  0.0000
K  0.0000  0.0000  0.5000
In  0.6667  0.3333  0.2500
In  0.3333  0.6667  0.7500
Ge  0.3333  0.6667  0.2500
Ge  0.6667  0.3333  0.7500
Cl  0.6371  0.6216  0.1423
Cl  0.9844  0.3629  0.1423
Cl  0.3629  0.9844  0.6423
Cl  0.0156  0.6371  0.8577
Cl  0.3784  0.3629  0.3577
Cl  0.9844  0.6216  0.3577
Cl  0.6216  0.9844  0.8577
Cl  0.6371  0.0156  0.3577
Cl  0.0156  0.3784  0.6423
Cl  0.3784  0.0156  0.1423
Cl  0.6216  0.6371  0.6423
Cl  0.3629  0.3784  0.8577

## Properties
**Final energy**: -3.383 eV per atom
**E_form (uncorrected)**: -1.212 eV/atom

---

# 4
A plane-wave DFT calculation with GGA-PBE was carried out for crystalline LaGa2Cu9 at its relaxed geometry.

a = 6.6610 Å, b = 7.9764 Å, c = 7.9764 Å
α = 79.96°, β = 65.32°, γ = 65.32°
Fractional coordinates of all 24 atoms:
La  0.5000  0.0000  0.0000
La  0.2500  0.5000  0.5000
Ga  0.8750  0.2500  0.7500
Ga  0.8750  0.7500  0.2500
Ga  0.8750  0.2500  0.2500
Ga  0.3750  0.7500  0.7500
Cu  0.7500  0.5000  0.5000
Cu  0.0000  0.0000  0.0000
Cu  0.0175  0.9140  0.6680
Cu  0.5995  0.0860  0.3320
Cu  0.6815  0.1680  0.5860
Cu  0.4354  0.8320  0.4140
Cu  0.7325  0.8320  0.5860
Cu  0.1505  0.1680  0.4140
Cu  0.0685  0.9140  0.3320
Cu  0.3146  0.0860  0.6680
Cu  0.7325  0.5860  0.8320
Cu  0.1505  0.4140  0.1680
Cu  0.0685  0.3320  0.9140
Cu  0.3146  0.6680  0.0860
Cu  0.0175  0.6680  0.9140
Cu  0.5995  0.3320  0.0860
Cu  0.6815  0.5860  0.1680
Cu  0.4354  0.4140  0.8320

## Properties
**E_form**: -0.169 eV per atom
**Final energy**: -4.156 eV per atom
**Excess energy over the best structure of this formula in the dataset**: 0 meV/atom

---

# 5
A plane-wave DFT calculation with GGA-PBE was carried out for crystalline La2TeP2 at its relaxed geometry.

a = 8.0306 Å, b = 8.0306 Å, c = 3.9808 Å
α = 90.00°, β = 90.00°, γ = 90.00°
Fractional coordinates of all 10 atoms:
P  0.3522  0.8522  0.0000
P  0.8522  0.6478  0.0000
P  0.6478  0.1478  0.0000
P  0.1478  0.3522  0.0000
Te  0.0000  0.0000  0.0000
Te  0.5000  0.5000  0.0000
La  0.1599  0.6599  0.5000
La  0.6599  0.8401  0.5000
La  0.8401  0.3401  0.5000
La  0.3401  0.1599  0.5000

## Properties
**Final energy**: -5.874 eV per atom
**E_form (uncorrected)**: -1.110 eV/atom
**Excess energy over the best structure of this formula in the dataset**: 37 meV/atom

---

# 6
A plane-wave DFT calculation with GGA-PBE was carried out for crystalline Al3NiAu at its relaxed geometry.

a = 5.2753 Å, b = 7.2859 Å, c = 8.4508 Å
α = 90.00°, β = 90.00°, γ = 90.00°
Fractional coordinates of all 20 atoms:
Al  0.8897  0.1822  0.9991
Al  0.3896  0.3178  0.4991
Al  0.3897  0.3178  0.0009
Al  0.1104  0.8178  0.4991
Al  0.1103  0.8178  0.0009
Al  0.6104  0.6822  0.5009
Al  0.6103  0.6822  0.9991
Al  0.8896  0.1822  0.5009
Al  0.6878  0.9619  0.2500
Al  0.1878  0.5381  0.7500
Al  0.3122  0.0381  0.7500
Al  0.8122  0.4619  0.2500
Ni  0.5000  0.0000  0.0000
Ni  0.0000  0.5000  0.5000
Ni  0.0000  0.5000  0.0000
Ni  0.5000  0.0000  0.5000
Au  0.3283  0.5409  0.2500
Au  0.8283  0.9591  0.7500
Au  0.6717  0.4591  0.7500
Au  0.1717  0.0409  0.2500

## Properties
**E_form**: -0.306 eV per atom
**Final energy**: -4.364 eV per atom
**Excess energy over the best structure of this formula in the dataset**: 0 meV/atom